# 1
The following is a DFT calculation (PBE-GGA) of an optimized crystal structure of SrNdTlAg.

Cell and atoms, written as POSCAR:
```
SrNdTlAg
1.0
0.000 3.910 3.910
3.910 0.000 3.910
3.910 3.910 0.000
Sr Nd Tl Ag
1 1 1 1
Direct
0.000 0.000 0.000
0.500 0.500 0.500
0.750 0.750 0.750
0.250 0.250 0.250
```

The offset from the most stable computed form comes out at 10 kJ/mol of formula units. The energy of formation from the pure elements comes out at -0.302 eV per atom. As for the density of states at the Fermi level: 3.92 states/eV/cell.

=====

# 2
The following is a DFT calculation (PBE-GGA) of an optimized crystal structure of SrNdTlAg.

Cell and atoms, written as POSCAR:
```
SrNdTlAg
1.0
3.865 0.000 0.000
0.000 3.865 0.000
0.000 0.000 8.078
Sr Nd Tl Ag
1 1 1 1
Direct
0.000 0.000 0.000
0.000 0.000 0.524
0.500 0.500 0.278
0.500 0.500 0.738
```

The offset from the most stable computed form comes out at 0 kJ/mol of formula units. The energy of formation from the pure elements comes out at -0.328 eV per atom. As for the density of states at the Fermi level: 3.17 states/eV/cell.

=====

Which of these has the lowest offset from the most stable computed form? number 2

=====

What is the formula in the first record? SrNdTlAg

=====

offset from the most stable computed form of number 2 (SrNdTlAg)? 0 kJ/mol of formula units